## a
NpHgCl3: relaxed, PBE-GGA.

Lattice parameters (Å, degrees): 5.4804 5.4804 5.4804 90.00 90.00 90.00
With the nearest neighbours (Å) after each atom.
Fractional positions:
Np 0.0000 0.0000 0.0000  6 Cl 2.74
Hg 0.5000 0.5000 0.5000  12 Cl 3.88
Cl 0.0000 0.0000 0.5000  2 Np 2.74
Cl 0.0000 0.5000 0.0000  2 Np 2.74
Cl 0.5000 0.0000 0.0000  2 Np 2.74

## Properties
- Space-group type: Pm-3m, No. 221

***

## b
NpHgCl3: relaxed, PBE-GGA.

Lattice parameters (Å, degrees): 7.1472 7.1872 10.6717 90.28 109.14 119.67
With the nearest neighbours (Å) after each atom.
Fractional positions:
Np 0.1659 0.3320 0.4986  6 Cl 2.73
Np 0.8341 0.6680 0.5014  6 Cl 2.73
Hg 0.2050 0.8974 0.0127  2 Hg 3.82, 4 Cl 4.07-4.24
Hg 0.7950 0.1026 0.9873  2 Hg 3.82, 4 Cl 4.07-4.24
Cl 0.0342 0.9480 0.3492  2 Np 2.73
Cl 0.2310 0.6790 0.6524  2 Np 2.73
Cl 0.3996 0.5784 0.3464  2 Np 2.73
Cl 0.6004 0.4216 0.6536  2 Np 2.73
Cl 0.7690 0.3210 0.3476  2 Np 2.73
Cl 0.9658 0.0520 0.6508  2 Np 2.73

## Properties
- Space-group type: P-1, No. 2

***

Relative to the most stable structure, the computed energies are a 71; b 0, all in meV/atom.

***

## a
Hg2ClO: relaxed, PBE-GGA.

Lattice parameters (Å, degrees): 6.8478 6.8478 8.1475 90.00 90.00 120.00
With the nearest neighbours (Å) after each atom.
Fractional positions:
Hg 0.1805 0.4225 0.3350  2 O 2.22-2.28
Hg 0.2420 0.8195 0.0017  2 O 2.22-2.28
Hg 0.4225 0.1805 0.6650  2 O 2.22-2.28
Hg 0.5775 0.7580 0.6683  2 O 2.22-2.28
Hg 0.7580 0.5775 0.3317  2 O 2.22-2.28
Hg 0.8195 0.2420 0.9983  2 O 2.22-2.28
Cl 0.0000 0.7626 0.6667  4 Hg 2.88-3.11
Cl 0.2374 0.2374 0.0000  4 Hg 2.88-3.11
Cl 0.7626 0.0000 0.3333  4 Hg 2.88-3.11
O 0.0000 0.5473 0.1667  4 Hg 2.22-2.28
O 0.4527 0.4527 0.5000  4 Hg 2.22-2.28
O 0.5473 0.0000 0.8333  4 Hg 2.22-2.28

## Properties
- Space-group type: P3_121, No. 152

***

## b
Hg2ClO: relaxed, PBE-GGA.

Lattice parameters (Å, degrees): 5.8107 5.8107 12.0413 90.00 90.00 90.00
With the nearest neighbours (Å) after each atom.
Fractional positions:
Hg 0.1499 0.2500 0.1250  2 O 2.27
Hg 0.2500 0.6499 0.3750  2 O 2.27
Hg 0.2500 0.8501 0.8750  2 O 2.27
Hg 0.3501 0.2500 0.6250  2 O 2.27
Hg 0.6499 0.7500 0.6250  2 O 2.27
Hg 0.7500 0.1499 0.8750  2 O 2.27
Hg 0.7500 0.3501 0.3750  2 O 2.27
Hg 0.8501 0.7500 0.1250  2 O 2.27
Cl 0.0000 0.0000 0.5000  4 Hg 2.92
Cl 0.0000 0.5000 0.7500  4 Hg 2.92
Cl 0.5000 0.0000 0.2500  4 Hg 2.92
Cl 0.5000 0.5000 0.0000  4 Hg 2.92
O 0.0000 0.0000 0.0000  4 Hg 2.27
O 0.0000 0.5000 0.2500  4 Hg 2.27
O 0.5000 0.0000 0.7500  4 Hg 2.27
O 0.5000 0.5000 0.5000  4 Hg 2.27

## Properties
- Space-group type: I-42d, No. 122

***

Relative to the most stable structure, the computed energies are a 9; b 0, all in meV/atom.

***

## a
HgCl3O: relaxed, PBE-GGA.

Lattice parameters (Å, degrees): 4.5860 4.5860 4.5860 90.00 90.00 90.00
With the nearest neighbours (Å) after each atom.
Fractional positions:
Hg 0.0000 0.0000 0.0000  12 Cl 3.24
Cl 0.0000 0.5000 0.5000  2 O 2.29
Cl 0.5000 0.0000 0.5000  2 O 2.29
Cl 0.5000 0.5000 0.0000  2 O 2.29
O 0.5000 0.5000 0.5000  6 Cl 2.29

## Properties
- Space-group type: Pm-3m, No. 221

***

## b
HgCl3O: relaxed, PBE-GGA.

Lattice parameters (Å, degrees): 5.1794 5.1794 5.1794 90.00 90.00 90.00
With the nearest neighbours (Å) after each atom.
Fractional positions:
Hg 0.0000 0.0000 0.0000  6 Cl 2.59
Cl 0.0000 0.0000 0.5000  2 Hg 2.59
Cl 0.0000 0.5000 0.0000  2 Hg 2.59
Cl 0.5000 0.0000 0.0000  2 Hg 2.59
O 0.5000 0.5000 0.5000  12 Cl 3.66

## Properties
- Space-group type: Pm-3m, No. 221

***

Relative to the most stable structure, the computed energies are a 0; b 56, all in meV/atom.

***

## a
Hg2Cl2O: relaxed, PBE-GGA.

Lattice parameters (Å, degrees): 6.5261 6.5261 10.8658 90.00 90.00 148.55
With the nearest neighbours (Å) after each atom.
Fractional positions:
Hg 0.0317 0.9683 0.5000  2 O 2.34
Hg 0.2483 0.7517 0.6277  2 O 2.34
Hg 0.7517 0.2483 0.1277  2 O 2.34
Hg 0.9683 0.0317 0.0000  2 O 2.34
Cl 0.1248 0.8752 0.2330  2 Hg 2.64
Cl 0.3928 0.6072 0.4178  3 Hg 2.64-2.92
Cl 0.6072 0.3928 0.9178  3 Hg 2.64-2.92
Cl 0.8752 0.1248 0.7330  2 Hg 2.64
O 0.3612 0.6388 0.0660  4 Hg 2.34
O 0.6388 0.3612 0.5660  4 Hg 2.34

## Properties
- Space-group type: Cmc2_1, No. 36

***

## b
Hg2Cl2O: relaxed, PBE-GGA.

Lattice parameters (Å, degrees): 4.0319 7.2950 10.0691 99.53 101.06 98.74
With the nearest neighbours (Å) after each atom.
Fractional positions:
Hg 0.2256 0.2877 0.0149  1 O 2.09
Hg 0.2704 0.4349 0.6698  1 O 2.03
Hg 0.7296 0.5651 0.3302  1 O 2.03
Hg 0.7744 0.7123 0.9851  1 O 2.09
Cl 0.1934 0.2645 0.4463  1 Hg 2.32
Cl 0.2645 0.8966 0.1464  1 Hg 2.36
Cl 0.7355 0.1034 0.8536  1 Hg 2.36
Cl 0.8066 0.7355 0.5537  1 Hg 2.32
O 0.2968 0.5627 0.8678  2 Hg 2.03-2.09
O 0.7032 0.4373 0.1322  2 Hg 2.03-2.09

## Properties
- Space-group type: P-1, No. 2

***

Relative to the most stable structure, the computed energies are a 165; b 0, all in meV/atom.

***

## a
SrHgCl2O: relaxed, PBE-GGA.

Lattice parameters (Å, degrees): 6.6826 6.6826 8.5642 90.00 90.00 144.06
With the nearest neighbours (Å) after each atom.
Fractional positions:
Sr 0.1905 0.8095 0.7500  2 O 2.54, 2 Cl 2.81
Sr 0.8095 0.1905 0.2500  2 O 2.54, 2 Cl 2.81
Hg 0.5000 0.5000 0.0000  2 O 2.34
Hg 0.5000 0.5000 0.5000  2 O 2.34
Cl 0.1510 0.8490 0.0728  1 Sr 2.81, 2 Hg 2.89, 1 Cl 3.03
Cl 0.1510 0.8490 0.4272  1 Sr 2.81, 2 Hg 2.89, 1 Cl 3.03
Cl 0.8490 0.1510 0.5728  1 Sr 2.81, 2 Hg 2.89, 1 Cl 3.03
Cl 0.8490 0.1510 0.9272  1 Sr 2.81, 2 Hg 2.89, 1 Cl 3.03
O 0.4259 0.5741 0.2500  2 Hg 2.34, 2 Sr 2.54
O 0.5741 0.4259 0.7500  2 Hg 2.34, 2 Sr 2.54

## Properties
- Space-group type: Cmcm, No. 63

***

## b
SrHgCl2O: relaxed, PBE-GGA.

Lattice parameters (Å, degrees): 4.9231 4.9231 7.3477 90.00 90.00 90.00
With the nearest neighbours (Å) after each atom.
Fractional positions:
Sr 0.0000 0.0000 0.0000  4 O 3.48, 2 Hg 3.67
Hg 0.0000 0.0000 0.5000  4 Cl 2.46
Cl 0.0000 0.5000 0.5000  2 Hg 2.46
Cl 0.5000 0.0000 0.5000  2 Hg 2.46
O 0.5000 0.5000 0.0000  4 Sr 3.48

## Properties
- Space-group type: P4/mmm, No. 123

***

Relative to the most stable structure, the computed energies are a 0; b 1154, all in meV/atom.

***

## a
HgOsCl: relaxed, PBE-GGA.

Lattice parameters (Å, degrees): 2.9559 2.9559 7.8967 90.00 90.00 120.00
With the nearest neighbours (Å) after each atom.
Fractional positions:
Hg 0.0000 0.0000 0.0000  6 Hg 2.96, 3 Os 2.98
Os 0.6667 0.3333 0.3086  3 Cl 2.50
Cl 0.3333 0.6667 0.5396  3 Os 2.50

## Properties
- Space-group type: P3m1, No. 156

***

## b
HgOsCl: relaxed, PBE-GGA.

Lattice parameters (Å, degrees): 4.5397 4.5397 3.0381 90.00 90.00 120.00
With the nearest neighbours (Å) after each atom.
Fractional positions:
Hg 0.0000 0.0000 0.0000  6 Cl 3.03, 6 Os 3.03, 2 Hg 3.04
Os 0.3333 0.6667 0.5000  3 Cl 2.62
Cl 0.6667 0.3333 0.5000  3 Os 2.62

## Properties
- Space-group type: P-6m2, No. 187

***

## c
HgOsCl: relaxed, PBE-GGA.

Lattice parameters (Å, degrees): 2.8854 3.6872 11.0165 90.00 90.00 90.00
With the nearest neighbours (Å) after each atom.
Fractional positions:
Hg 0.0000 0.0000 0.0000  2 Hg 2.89, 1 Cl 3.08, 1 Os 3.10
Hg 0.5000 0.5000 0.5000  2 Hg 2.89, 1 Cl 3.08, 1 Os 3.10
Os 0.0000 0.0000 0.7187  4 Cl 2.44
Os 0.5000 0.5000 0.2187  4 Cl 2.44
Cl 0.0000 0.0000 0.2797  4 Os 2.44
Cl 0.5000 0.5000 0.7797  4 Os 2.44

## Properties
- Space-group type: Imm2, No. 44

***

## d
HgOsCl: relaxed, PBE-GGA.

Lattice parameters (Å, degrees): 2.8741 5.3598 15.8027 90.00 90.00 90.00
With the nearest neighbours (Å) after each atom.
Fractional positions:
Hg 0.0000 0.0000 0.0000  6 Hg 2.87-3.04, 2 Os 2.88
Hg 0.0000 0.5000 0.5000  6 Hg 2.87-3.04, 2 Os 2.88
Hg 0.5000 0.0000 0.5000  6 Hg 2.87-3.04, 2 Os 2.88
Hg 0.5000 0.5000 0.0000  6 Hg 2.87-3.04, 2 Os 2.88
Os 0.0000 0.0000 0.3418  2 Cl 2.34
Os 0.0000 0.5000 0.8418  2 Cl 2.34
Os 0.5000 0.0000 0.8418  2 Cl 2.34
Os 0.5000 0.5000 0.3418  2 Cl 2.34
Cl 0.0000 0.0000 0.7249  2 Os 2.34
Cl 0.0000 0.5000 0.2249  2 Os 2.34
Cl 0.5000 0.0000 0.2249  2 Os 2.34
Cl 0.5000 0.5000 0.7249  2 Os 2.34

## Properties
- Space-group type: Fmm2, No. 42

***

Relative to the most stable structure, the computed energies are a 76; b 426; c 371; d 0, all in meV/atom.

***

## a
HgOsCl: relaxed, PBE-GGA.

Lattice parameters (Å, degrees): 6.4087 6.4087 6.4087 90.00 90.00 90.00
With the nearest neighbours (Å) after each atom.
Fractional positions:
Hg 0.0000 0.0000 0.0000  4 Os 2.78
Hg 0.0000 0.5000 0.5000  4 Os 2.78
Hg 0.5000 0.0000 0.5000  4 Os 2.78
Hg 0.5000 0.5000 0.0000  4 Os 2.78
Os 0.2500 0.2500 0.2500  4 Hg 2.78, 4 Cl 2.78
Os 0.2500 0.7500 0.7500  4 Hg 2.78, 4 Cl 2.78
Os 0.7500 0.2500 0.7500  4 Hg 2.78, 4 Cl 2.78
Os 0.7500 0.7500 0.2500  4 Hg 2.78, 4 Cl 2.78
Cl 0.0000 0.0000 0.5000  4 Os 2.78
Cl 0.0000 0.5000 0.0000  4 Os 2.78
Cl 0.5000 0.0000 0.0000  4 Os 2.78
Cl 0.5000 0.5000 0.5000  4 Os 2.78

## Properties
- Space-group type: F-43m, No. 216

***

## b
HgOsCl: relaxed, PBE-GGA.

Lattice parameters (Å, degrees): 3.0270 3.0270 13.0993 90.00 90.00 90.00
With the nearest neighbours (Å) after each atom.
Fractional positions:
Hg 0.0000 0.0000 0.0000  4 Os 2.88, 4 Hg 3.03
Hg 0.5000 0.5000 0.5000  4 Os 2.88, 4 Hg 3.03
Os 0.0000 0.0000 0.6470  4 Cl 2.72, 4 Hg 2.88, 4 Os 3.03
Os 0.5000 0.5000 0.1470  4 Cl 2.72, 4 Hg 2.88, 4 Os 3.03
Cl 0.0000 0.0000 0.2748  4 Os 2.72, 4 Cl 3.03
Cl 0.5000 0.5000 0.7748  4 Os 2.72, 4 Cl 3.03

## Properties
- Space-group type: I4mm, No. 107

***

Relative to the most stable structure, the computed energies are a 312; b 0, all in meV/atom.

***

## a
HgOsCl3: relaxed, PBE-GGA.

Lattice parameters (Å, degrees): 4.8568 4.8568 4.8568 90.00 90.00 90.00
With the nearest neighbours (Å) after each atom.
Fractional positions:
Hg 0.0000 0.0000 0.0000  12 Cl 3.43
Os 0.5000 0.5000 0.5000  6 Cl 2.43
Cl 0.0000 0.5000 0.5000  2 Os 2.43
Cl 0.5000 0.0000 0.5000  2 Os 2.43
Cl 0.5000 0.5000 0.0000  2 Os 2.43

## Properties
- Space-group type: Pm-3m, No. 221

***

## b
HgOsCl3: relaxed, PBE-GGA.

Lattice parameters (Å, degrees): 5.2764 5.2764 5.2764 90.00 90.00 90.00
With the nearest neighbours (Å) after each atom.
Fractional positions:
Hg 0.0000 0.0000 0.0000  6 Cl 2.64
Os 0.5000 0.5000 0.5000  12 Cl 3.73
Cl 0.0000 0.0000 0.5000  2 Hg 2.64
Cl 0.0000 0.5000 0.0000  2 Hg 2.64
Cl 0.5000 0.0000 0.0000  2 Hg 2.64

## Properties
- Space-group type: Pm-3m, No. 221

***

Relative to the most stable structure, the computed energies are a 0; b 886, all in meV/atom.